# Pr4SmDy10 PBE-GGA optimized geometry
# DOS(E_F) = 1.5330 states/eV/atom
# calculated density = 7.6 g/cm3
# VASP energy = -4.312 eV/atom
data_Pr4SmDy10
_chemical_formula_sum 'Pr8 Sm2 Dy20'
_symmetry_space_group_name_H-M 'I 4/m'
_symmetry_Int_Tables_number 87
_symmetry_space_group_name_Hall '-I 4'
_cell_length_a 9.762
_cell_length_b 9.762
_cell_length_c 10.685
_cell_angle_alpha 90.00
_cell_angle_beta 90.00
_cell_angle_gamma 90.00
loop_
_atom_site_label
_atom_site_type_symbol
_atom_site_fract_x
_atom_site_fract_y
_atom_site_fract_z
_atom_site_occupancy
Pr1 Pr 0.065 0.667 0.000 1
Sm1 Sm 0.000 0.000 0.000 1
Dy1 Dy 0.000 0.500 0.250 1
Dy2 Dy 0.114 0.791 0.340 1